# 1
InGePd2 | PBE | optimized geometry

Summary:
formation enthalpy at 0 K: -1.53 eV per formula unit
DOS at the Fermi energy: 1.1 states/eV per cell

Lattice parameters (Å, degrees): 3.1952 3.1952 6.6342 90.00 90.00 90.00
With the nearest neighbours (Å) after each atom.
Fractional positions:
In  0.0000  0.0000  0.0000  8 Pd 2.90, 4 In 3.20
Ge  0.0000  0.0000  0.5000  8 Pd 2.71
Pd  0.5000  0.5000  0.2742  4 Ge 2.71, 4 In 2.90, 1 Pd 3.00
Pd  0.5000  0.5000  0.7258  4 Ge 2.71, 4 In 2.90, 1 Pd 3.00

# 2
CaPaNiAu | PBE | optimized geometry

Summary:
formation enthalpy at 0 K: -0.68 eV per formula unit
DOS at the Fermi energy: 5.4 states/eV per cell

Lattice parameters (Å, degrees): 4.9724 4.9724 4.9724 60.00 60.00 60.00
With the nearest neighbours (Å) after each atom.
Fractional positions:
Ca  0.0000  0.0000  0.0000  4 Ni 3.04, 4 Au 3.04
Pa  0.5000  0.5000  0.5000  4 Ni 3.04, 4 Au 3.04
Ni  0.7500  0.7500  0.7500  4 Pa 3.04, 4 Ca 3.04
Au  0.2500  0.2500  0.2500  4 Pa 3.04, 4 Ca 3.04

# 3
CrSnSe2 | PBE | optimized geometry

Summary:
DOS at the Fermi energy: 0.6 states/eV per cell
uncorrected formation energy: -24 kJ per mole of atoms

Lattice parameters (Å, degrees): 3.6990 7.5882 7.6960 85.31 84.87 76.10
With the nearest neighbours (Å) after each atom.
Fractional positions:
Cr  0.0000  0.0000  0.0000  1 Cr 1.98
Cr  0.4016  0.9856  0.8094  1 Cr 1.98
Sn  0.8249  0.5225  0.7734  3 Se 2.80-2.85
Sn  0.9425  0.0391  0.3570  3 Se 2.69-2.81, 1 Cr 2.77
Se  0.2248  0.7706  0.6164  1 Cr 2.53, 2 Sn 2.80-2.81
Se  0.3160  0.2137  0.5426  1 Cr 2.57, 2 Sn 2.69-2.72
Se  0.3929  0.2344  0.9959  3 Cr 2.46-2.55
Se  0.6199  0.7640  0.0497  3 Cr 2.45-2.59

> Among the records above, which one has the lowest DOS at the Fermi energy?

CrSnSe2